Entry from Alexandria via LeMat-Bulk: CoMo3F after structural relaxation (PBE+U).

a = 4.220 Å, b = 4.220 Å, c = 4.220 Å
α = 90.00°, β = 90.00°, γ = 90.00°
Space group Pm-3m (No. 221)
One atom of each set of equivalent atoms:
Co1 0.000 0.000 0.000
Mo1 0.000 0.500 0.500
F1 0.500 0.500 0.500

## Properties
distance to the lowest polymorph of the same formula: 0.000 eV/atom